# BeH2Se2 | Alexandria via LeMat-Bulk | PBE-GGA | relaxed
data_BeH2Se2
_chemical_formula_sum 'Be2 H4 Se4'
_symmetry_space_group_name_H-M 'P 4/m b m'
_symmetry_Int_Tables_number 127
_symmetry_space_group_name_Hall '-P 4 2ab'
_cell_length_a 6.7227
_cell_length_b 6.7227
_cell_length_c 3.1212
_cell_angle_alpha 90.00
_cell_angle_beta 90.00
_cell_angle_gamma 90.00
loop_
_atom_site_label
_atom_site_fract_x
_atom_site_fract_y
_atom_site_fract_z
Be1 0.0000 0.0000 0.0000
H1 0.1251 0.3749 0.0000
Se1 0.2067 0.2933 0.5000
# VASP energy, eV/cell: -28.9
# Magnetization, μB per formula unit: 0.0

***

# LiMnCl2 | Alexandria via LeMat-Bulk | PBE-GGA | relaxed
data_LiMnCl2
_chemical_formula_sum 'Li3 Mn3 Cl6'
_symmetry_space_group_name_H-M 'R -3 m'
_symmetry_Int_Tables_number 166
_symmetry_space_group_name_Hall '-R 3 2"'
_cell_length_a 3.6031
_cell_length_b 3.6031
_cell_length_c 22.0751
_cell_angle_alpha 90.00
_cell_angle_beta 90.00
_cell_angle_gamma 120.00
loop_
_atom_site_label
_atom_site_fract_x
_atom_site_fract_y
_atom_site_fract_z
Li1 0.0000 0.0000 0.0000
Mn1 0.0000 0.0000 0.5000
Cl1 0.0000 0.0000 0.3974
# VASP energy, eV/cell: -55.9
# Magnetization, μB per formula unit: 4.0

***

# CrBI2 | Alexandria via LeMat-Bulk | PBE-GGA | relaxed
data_CrBI2
_chemical_formula_sum 'Cr4 B4 I8'
_symmetry_space_group_name_H-M 'F m -3 m'
_symmetry_Int_Tables_number 225
_symmetry_space_group_name_Hall '-F 4 2 3'
_cell_length_a 6.7274
_cell_length_b 6.7274
_cell_length_c 6.7274
_cell_angle_alpha 90.00
_cell_angle_beta 90.00
_cell_angle_gamma 90.00
loop_
_atom_site_label
_atom_site_fract_x
_atom_site_fract_y
_atom_site_fract_z
Cr1 0.0000 0.0000 0.0000
B1 0.0000 0.0000 0.5000
I1 0.2500 0.2500 0.2500
# VASP energy, eV/cell: -51.7
# Magnetization, μB per formula unit: 0.0

***

# SnHgAu14 | Alexandria via LeMat-Bulk | PBE-GGA | relaxed
data_SnHgAu14
_chemical_formula_sum 'Sn1 Hg1 Au14'
_symmetry_space_group_name_H-M 'P 4/m m m'
_symmetry_Int_Tables_number 123
_symmetry_space_group_name_Hall '-P 4 2'
_cell_length_a 5.9856
_cell_length_b 5.9856
_cell_length_c 8.3242
_cell_angle_alpha 90.00
_cell_angle_beta 90.00
_cell_angle_gamma 90.00
loop_
_atom_site_label
_atom_site_fract_x
_atom_site_fract_y
_atom_site_fract_z
Sn1 0.0000 0.0000 0.0000
Hg1 0.5000 0.5000 0.0000
Au1 0.0000 0.0000 0.5000
Au2 0.0000 0.5000 0.0000
Au3 0.0000 0.5000 0.5000
Au4 0.2502 0.2502 0.2557
Au5 0.5000 0.5000 0.5000
# VASP energy, eV/cell: -50.0
# Magnetization, μB per formula unit: 0.0
# Energy of formation, eV/atom: 0.014

***

# ZrVN3 | Alexandria via LeMat-Bulk | PBE-GGA | relaxed
data_ZrVN3
_chemical_formula_sum 'Zr1 V1 N3'
_symmetry_space_group_name_H-M 'P m -3 m'
_symmetry_Int_Tables_number 221
_symmetry_space_group_name_Hall '-P 4 2 3'
_cell_length_a 3.7659
_cell_length_b 3.7659
_cell_length_c 3.7659
_cell_angle_alpha 90.00
_cell_angle_beta 90.00
_cell_angle_gamma 90.00
loop_
_atom_site_label
_atom_site_fract_x
_atom_site_fract_y
_atom_site_fract_z
Zr1 0.0000 0.0000 0.0000
V1 0.5000 0.5000 0.5000
N1 0.0000 0.5000 0.5000
# VASP energy, eV/cell: -45.0
# Magnetization, μB per formula unit: 0.0

***

# CsPrIn2Cl6 | Alexandria via LeMat-Bulk | PBE-GGA | relaxed
data_CsPrIn2Cl6
_chemical_formula_sum 'Cs3 Pr3 In6 Cl18'
_symmetry_space_group_name_H-M 'R 3'
_symmetry_Int_Tables_number 146
_symmetry_space_group_name_Hall 'R 3'
_cell_length_a 8.0487
_cell_length_b 8.0487
_cell_length_c 20.8131
_cell_angle_alpha 90.00
_cell_angle_beta 90.00
_cell_angle_gamma 120.00
loop_
_atom_site_label
_atom_site_fract_x
_atom_site_fract_y
_atom_site_fract_z
Cs1 0.0000 0.0000 0.0000
Pr1 0.0000 0.0000 0.4844
In1 0.0000 0.0000 0.2836
In2 0.0000 0.0000 0.7921
Cl1 0.0234 0.3860 0.2176
Cl2 0.0317 0.7542 0.3950
# VASP energy, eV/cell: -116.1
# Magnetization, μB per formula unit: 0.0

***

# MgBeCdPd2 | Alexandria via LeMat-Bulk | PBE-GGA | relaxed
data_MgBeCdPd2
_chemical_formula_sum 'Mg1 Be1 Cd1 Pd2'
_symmetry_space_group_name_H-M 'P 4/m m m'
_symmetry_Int_Tables_number 123
_symmetry_space_group_name_Hall '-P 4 2'
_cell_length_a 4.3045
_cell_length_b 4.3045
_cell_length_c 4.5116
_cell_angle_alpha 90.00
_cell_angle_beta 90.00
_cell_angle_gamma 90.00
loop_
_atom_site_label
_atom_site_fract_x
_atom_site_fract_y
_atom_site_fract_z
Mg1 0.0000 0.0000 0.0000
Be1 0.5000 0.5000 0.5000
Cd1 0.5000 0.5000 0.0000
Pd1 0.0000 0.5000 0.5000
# VASP energy, eV/cell: -17.6
# Magnetization, μB per formula unit: 0.0
# Energy of formation, eV/atom: -0.194

***

# NaHfSc | Alexandria via LeMat-Bulk | PBE-GGA | relaxed
data_NaHfSc
_chemical_formula_sum 'Na1 Hf1 Sc1'
_symmetry_space_group_name_H-M 'P -6 m 2'
_symmetry_Int_Tables_number 187
_symmetry_space_group_name_Hall 'P -6 2'
_cell_length_a 5.4860
_cell_length_b 5.4860
_cell_length_c 2.8889
_cell_angle_alpha 90.00
_cell_angle_beta 90.00
_cell_angle_gamma 120.00
loop_
_atom_site_label
_atom_site_fract_x
_atom_site_fract_y
_atom_site_fract_z
Na1 0.0000 0.0000 0.0000
Hf1 0.6667 0.3333 0.5000
Sc1 0.3333 0.6667 0.5000
# VASP energy, eV/cell: -15.6
# Magnetization, μB per formula unit: 0.0
# Energy of formation, eV/atom: 0.683

***

# NaNdF4 | Alexandria via LeMat-Bulk | PBE-GGA | relaxed
data_NaNdF4
_chemical_formula_sum 'Na3 Nd3 F12'
_symmetry_space_group_name_H-M 'P -6'
_symmetry_Int_Tables_number 174
_symmetry_space_group_name_Hall 'P -6'
_cell_length_a 6.1937
_cell_length_b 6.1937
_cell_length_c 7.3937
_cell_angle_alpha 90.00
_cell_angle_beta 90.00
_cell_angle_gamma 120.00
loop_
_atom_site_label
_atom_site_fract_x
_atom_site_fract_y
_atom_site_fract_z
Na1 0.0000 0.0000 0.0000
Na2 0.6667 0.3333 0.2069
Nd1 0.0000 0.0000 0.5000
Nd2 0.3333 0.6667 0.2458
F1 0.0465 0.4370 0.0000
F2 0.0627 0.4202 0.5000
F3 0.2741 0.2577 0.2609
# VASP energy, eV/cell: -106.7
# Magnetization, μB per formula unit: 0.0

***

# Te2IO | Alexandria via LeMat-Bulk | PBE-GGA | relaxed
data_Te2IO
_chemical_formula_sum 'Te6 I3 O3'
_symmetry_space_group_name_H-M 'R -3 m'
_symmetry_Int_Tables_number 166
_symmetry_space_group_name_Hall '-R 3 2"'
_cell_length_a 4.3209
_cell_length_b 4.3209
_cell_length_c 19.4004
_cell_angle_alpha 90.00
_cell_angle_beta 90.00
_cell_angle_gamma 120.00
loop_
_atom_site_label
_atom_site_fract_x
_atom_site_fract_y
_atom_site_fract_z
Te1 0.0000 0.0000 0.2064
I1 0.0000 0.0000 0.0000
O1 0.0000 0.0000 0.5000
# VASP energy, eV/cell: -36.6
# Magnetization, μB per formula unit: 0.0

***

# Na2LiP2 | Alexandria via LeMat-Bulk | PBE-GGA | relaxed
data_Na2LiP2
_chemical_formula_sum 'Na4 Li2 P4'
_symmetry_space_group_name_H-M 'P 4/m b m'
_symmetry_Int_Tables_number 127
_symmetry_space_group_name_Hall '-P 4 2ab'
_cell_length_a 6.7299
_cell_length_b 6.7299
_cell_length_c 4.4059
_cell_angle_alpha 90.00
_cell_angle_beta 90.00
_cell_angle_gamma 90.00
loop_
_atom_site_label
_atom_site_fract_x
_atom_site_fract_y
_atom_site_fract_z
Na1 0.1778 0.3222 0.0000
Li1 0.0000 0.0000 0.5000
P1 0.1141 0.6141 0.5000
# VASP energy, eV/cell: -34.6
# Magnetization, μB per formula unit: 0.0
# Energy of formation, eV/atom: -0.381

***

# RbHfV3 | Alexandria via LeMat-Bulk | PBE-GGA | relaxed
data_RbHfV3
_chemical_formula_sum 'Rb1 Hf1 V3'
_symmetry_space_group_name_H-M 'P m -3 m'
_symmetry_Int_Tables_number 221
_symmetry_space_group_name_Hall '-P 4 2 3'
_cell_length_a 4.5452
_cell_length_b 4.5452
_cell_length_c 4.5452
_cell_angle_alpha 90.00
_cell_angle_beta 90.00
_cell_angle_gamma 90.00
loop_
_atom_site_label
_atom_site_fract_x
_atom_site_fract_y
_atom_site_fract_z
Rb1 0.0000 0.0000 0.0000
Hf1 0.5000 0.5000 0.5000
V1 0.0000 0.0000 0.5000
# VASP energy, eV/cell: -26.5
# Magnetization, μB per formula unit: 0.5
# Energy of formation, eV/atom: 2.351

***

# CsCaCu2 | Alexandria via LeMat-Bulk | PBE-GGA | relaxed
data_CsCaCu2
_chemical_formula_sum 'Cs4 Ca4 Cu8'
_symmetry_space_group_name_H-M 'F m -3 m'
_symmetry_Int_Tables_number 225
_symmetry_space_group_name_Hall '-F 4 2 3'
_cell_length_a 7.8421
_cell_length_b 7.8421
_cell_length_c 7.8421
_cell_angle_alpha 90.00
_cell_angle_beta 90.00
_cell_angle_gamma 90.00
loop_
_atom_site_label
_atom_site_fract_x
_atom_site_fract_y
_atom_site_fract_z
Cs1 0.0000 0.0000 0.0000
Ca1 0.0000 0.0000 0.5000
Cu1 0.2500 0.2500 0.2500
# VASP energy, eV/cell: -36.8
# Magnetization, μB per formula unit: 0.0
# Energy of formation, eV/atom: 0.464

***

# Sm3ErTl | Alexandria via LeMat-Bulk | PBE-GGA | relaxed
data_Sm3ErTl
_chemical_formula_sum 'Sm12 Er4 Tl4'
_symmetry_space_group_name_H-M 'C m c m'
_symmetry_Int_Tables_number 63
_symmetry_space_group_name_Hall '-C 2c 2'
_cell_length_a 5.7704
_cell_length_b 18.5204
_cell_length_c 5.7265
_cell_angle_alpha 90.00
_cell_angle_beta 90.00
_cell_angle_gamma 90.00
loop_
_atom_site_label
_atom_site_fract_x
_atom_site_fract_y
_atom_site_fract_z
Sm1 0.0000 0.0552 0.2500
Sm2 0.0000 0.2492 0.2500
Sm3 0.0000 0.4441 0.2500
Er1 0.0000 0.3543 0.7500
Tl1 0.0000 0.1530 0.7500
# VASP energy, eV/cell: -85.7
# Magnetization, μB per formula unit: 0.0
# Energy of formation, eV/atom: -0.066